Material: MgZrTc2
Method: DFT, GGA-PBE
State: relaxed

Geometry as extended XYZ:
```
4
Lattice="-2.956 3.381 -0.868 -0.699 0.529 4.489 4.247 0.192 -1.687" Properties=species:S:1:pos:R:3 pbc="T T T"
Mg -0.268 2.764 -0.372
Tc 0.000 0.000 0.000
Tc 0.860 1.338 2.306
Zr -1.828 1.955 1.811
```

Values from the calculation:
The value obtained for the volume is 68 Å³/cell. The calculation puts the formation energy at 0.1227 eV per atom. The calculation puts the density of states at the Fermi level at 2.93 states/eV per cell.